Compound: Ba2SrBr
Source: Alexandria
Functional: PBE
Structure: optimized geometry

For the density, the calculation gives 3.61 g cm⁻³. For the energy relative to the elements, uncorrected, the calculation gives -709 meV/atom. The total moment comes out at 0.00 Bohr magnetons per cell. The final energy comes out at -2.509 eV per atom. The calculation puts the volume at 407.2 Å³/cell.

The space group is Cmmm (No. 65) and the conventional cell measures 4.634, 7.234 and 12.147 Å, with angles of 90.00, 90.00 and 90.00 degrees. The asymmetric unit holds Ba at (0.000, 0.000, 0.207), Sr at (0.000, 0.500, 0.500) and Br at (0.000, 0.500, 0.000).

***

Compound: K2CrRh2S6
Source: Alexandria
Functional: PBE
Structure: optimized geometry

For the density, the calculation gives 3.66 g cm⁻³. For the energy relative to the elements, uncorrected, the calculation gives -727 meV/atom. The total moment comes out at 4.06 Bohr magnetons per cell. The final energy comes out at -5.389 eV per atom. The calculation puts the volume at 480.1 Å³/cell.

The space group is C2/m (No. 12) and the conventional cell measures 6.196, 10.766 and 7.496 Å, with angles of 90.00, 106.25 and 90.00 degrees. The asymmetric unit holds K at (0.000, 0.167, 0.000), Cr at (0.000, 0.000, 0.500), Rh at (0.000, 0.333, 0.500), S at (0.223, 0.500, 0.670) and S at (0.224, 0.166, 0.670).

***

Compound: In3GeIr
Source: Alexandria
Functional: PBE
Structure: optimized geometry

For the density, the calculation gives 7.39 g cm⁻³. The calculation puts the energy relative to the elements at 0.244 eV/atom. The total moment comes out at 0.70 Bohr magnetons per cell. The final energy comes out at -4.095 eV per atom. The calculation puts the volume at 137.0 Å³/cell.

The space group is Pm-3m (No. 221) and the conventional cell measures 5.155, 5.155 and 5.155 Å, with angles of 90.00, 90.00 and 90.00 degrees. The asymmetric unit holds In at (0.000, 0.000, 0.500), Ge at (0.500, 0.500, 0.500) and Ir at (0.000, 0.000, 0.000).

***

Compound: NaLi4Ag5
Source: Alexandria
Functional: PBE
Structure: optimized geometry

For the density, the calculation gives 5.69 g cm⁻³. The calculation puts the energy relative to the elements at -0.169 eV/atom. The total moment comes out at 0.00 Bohr magnetons per cell. The final energy comes out at -2.492 eV per atom. The calculation puts the volume at 172.2 Å³/cell.

The space group is P4/mmm (No. 123) and the conventional cell measures 3.229, 3.229 and 16.519 Å, with angles of 90.00, 90.00 and 90.00 degrees. The asymmetric unit holds Na at (0.000, 0.000, 0.000), Li at (0.000, 0.000, 0.220), Li at (0.000, 0.000, 0.407), Ag at (0.500, 0.500, 0.131), Ag at (0.500, 0.500, 0.314) and Ag at (0.500, 0.500, 0.500).

***

Compound: ReSi4Ru5
Source: Alexandria
Functional: PBE
Structure: optimized geometry

For the density, the calculation gives 10.28 g cm⁻³. For the energy relative to the elements, uncorrected, the calculation gives -516 meV/atom. The total moment comes out at 0.00 Bohr magnetons per cell. The final energy comes out at -8.568 eV per atom. The calculation puts the volume at 129.8 Å³/cell.

The space group is P4/mmm (No. 123) and the conventional cell measures 2.897, 2.897 and 15.467 Å, with angles of 90.00, 90.00 and 90.00 degrees. The asymmetric unit holds Re at (0.000, 0.000, 0.000), Si at (0.000, 0.000, 0.211), Si at (0.000, 0.000, 0.404), Ru at (0.500, 0.500, 0.120), Ru at (0.500, 0.500, 0.310) and Ru at (0.500, 0.500, 0.500).

***

Compound: Cr3FeP
Source: Alexandria
Functional: PBE
Structure: optimized geometry

For the density, the calculation gives 5.22 g cm⁻³. The calculation puts the energy relative to the elements at 1.092 eV/atom. The total moment comes out at 5.47 Bohr magnetons per cell. The final energy comes out at -7.456 eV per atom. The calculation puts the volume at 77.3 Å³/cell.

The space group is Pm-3m (No. 221) and the conventional cell measures 4.259, 4.259 and 4.259 Å, with angles of 90.00, 90.00 and 90.00 degrees. The asymmetric unit holds Cr at (0.000, 0.000, 0.500), Fe at (0.000, 0.000, 0.000) and P at (0.500, 0.500, 0.500).

***

Compound: HoAgTe2
Source: Alexandria
Functional: PBE
Structure: optimized geometry

For the density, the calculation gives 7.39 g cm⁻³. For the energy relative to the elements, uncorrected, the calculation gives -904 meV/atom. The total moment comes out at 0.00 Bohr magnetons per cell. The final energy comes out at -4.332 eV per atom. The calculation puts the volume at 237.3 Å³/cell.

The space group is P-42_1m (No. 113) and the conventional cell measures 7.097, 7.097 and 4.712 Å, with angles of 90.00, 90.00 and 90.00 degrees. The asymmetric unit holds Ho at (0.000, 0.500, 0.191), Ag at (0.000, 0.000, 0.000) and Te at (0.202, 0.702, 0.708).

***

Compound: Re2BiB
Source: Alexandria
Functional: PBE
Structure: optimized geometry

For the density, the calculation gives 12.61 g cm⁻³. The calculation puts the energy relative to the elements at 0.990 eV/atom. The total moment comes out at 0.00 Bohr magnetons per cell. The final energy comes out at -7.873 eV per atom. The calculation puts the volume at 312.0 Å³/cell.

The space group is I-42d (No. 122) and the conventional cell measures 4.783, 4.783 and 13.642 Å, with angles of 90.00, 90.00 and 90.00 degrees. The asymmetric unit holds Re at (0.096, 0.250, 0.125), Bi at (0.000, 0.000, 0.500) and B at (0.000, 0.000, 0.000).

***

Compound: CoTeMoN2
Source: Alexandria
Functional: PBE
Structure: optimized geometry

For the density, the calculation gives 5.96 g cm⁻³. For the energy relative to the elements, uncorrected, the calculation gives 734 meV/atom. The total moment comes out at 2.03 Bohr magnetons per cell. The final energy comes out at -6.812 eV per atom. The calculation puts the volume at 86.6 Å³/cell.

The space group is P4/mmm (No. 123) and the conventional cell measures 3.871, 3.871 and 5.777 Å, with angles of 90.00, 90.00 and 90.00 degrees. The asymmetric unit holds Co at (0.000, 0.000, 0.000), Te at (0.500, 0.500, 0.000), Mo at (0.500, 0.500, 0.500) and N at (0.000, 0.500, 0.500).

***

Compound: Y2GaC
Source: Alexandria
Functional: PBE
Structure: optimized geometry

For the density, the calculation gives 5.05 g cm⁻³. The calculation puts the energy relative to the elements at -0.372 eV/atom. The total moment comes out at 0.00 Bohr magnetons per cell. The final energy comes out at -6.666 eV per atom. The calculation puts the volume at 256.2 Å³/cell.

The space group is R-3m (No. 166, hexagonal axes) and the conventional cell measures 3.6182, 3.6182 and 22.5981 Å, with angles of 90.00, 90.00 and 120.00 degrees. The asymmetric unit holds Y at (0.0000, 0.0000, 0.2270), Ga at (0.0000, 0.0000, 0.0000) and C at (0.0000, 0.0000, 0.5000).

***

Compound: TlPb2Se
Source: Alexandria
Functional: PBE
Structure: optimized geometry

For the density, the calculation gives 9.62 g cm⁻³. For the energy relative to the elements, uncorrected, the calculation gives -150 meV/atom. The total moment comes out at 0.00 Bohr magnetons per cell. The final energy comes out at -3.467 eV per atom. The calculation puts the volume at 240.9 Å³/cell.

The space group is Immm (No. 71) and the conventional cell measures 3.871, 5.589 and 11.132 Å, with angles of 90.00, 90.00 and 90.00 degrees. The asymmetric unit holds Tl at (0.000, 0.000, 0.000), Pb at (0.000, 0.500, 0.212) and Se at (0.000, 0.000, 0.500).

***

Compound: MgTe2Br
Source: Alexandria
Functional: PBE
Structure: optimized geometry

For the density, the calculation gives 4.11 g cm⁻³. For the energy relative to the elements, uncorrected, the calculation gives -334 meV/atom. The total moment comes out at 0.00 Bohr magnetons per cell. The final energy comes out at -2.721 eV per atom. The calculation puts the volume at 290.5 Å³/cell.

The space group is Cmm2 (No. 35) and the conventional cell measures 3.811, 7.629 and 9.993 Å, with angles of 90.00, 90.00 and 90.00 degrees. The asymmetric unit holds Mg at (0.000, 0.000, 0.000), Te at (0.000, 0.000, 0.566), Te at (0.000, 0.500, 0.784) and Br at (0.000, 0.500, 0.170).

***

Compound: CsTbBeS3
Source: Alexandria
Functional: PBE
Structure: optimized geometry

For the density, the calculation gives 3.98 g cm⁻³. For the energy relative to the elements, uncorrected, the calculation gives -1557 meV/atom. The total moment comes out at 0.00 Bohr magnetons per cell. The final energy comes out at -5.156 eV per atom. The calculation puts the volume at 331.5 Å³/cell.

The space group is P2_1/m (No. 11) and the conventional cell measures 9.528, 3.922 and 9.591 Å, with angles of 90.00, 112.35 and 90.00 degrees. The asymmetric unit holds Cs at (0.242, 0.250, 0.210), Tb at (0.148, 0.250, 0.668), Be at (0.394, 0.750, 0.926), S at (0.160, 0.750, 0.474), S at (0.163, 0.750, 0.874) and S at (0.464, 0.250, 0.844).

***

Compound: LuMgScSn
Source: Alexandria
Functional: PBE
Structure: optimized geometry

For the density, the calculation gives 6.41 g cm⁻³. The calculation puts the energy relative to the elements at -0.335 eV/atom. The total moment comes out at 0.00 Bohr magnetons per cell. The final energy comes out at -4.447 eV per atom. The calculation puts the volume at 376.0 Å³/cell.

The space group is F-43m (No. 216) and the conventional cell measures 7.218, 7.218 and 7.218 Å, with angles of 90.00, 90.00 and 90.00 degrees. The asymmetric unit holds Lu at (0.000, 0.000, 0.000), Mg at (0.250, 0.250, 0.750), Sc at (0.000, 0.000, 0.500) and Sn at (0.250, 0.250, 0.250).

***

Compound: Re3AgW
Source: Alexandria
Functional: PBE
Structure: optimized geometry

For the density, the calculation gives 13.17 g cm⁻³. The calculation puts the energy relative to the elements at 2.307 eV/atom. The total moment comes out at 1.89 Bohr magnetons per cell. The final energy comes out at -8.322 eV per atom. The calculation puts the volume at 107.2 Å³/cell.

The space group is Pm-3m (No. 221) and the conventional cell measures 4.751, 4.751 and 4.751 Å, with angles of 90.00, 90.00 and 90.00 degrees. The asymmetric unit holds Re at (0.000, 0.000, 0.500), Ag at (0.500, 0.500, 0.500) and W at (0.000, 0.000, 0.000).

***

Compound: V3Sn
Source: Alexandria
Functional: PBE
Structure: optimized geometry

For the density, the calculation gives 7.38 g cm⁻³. The calculation puts the energy relative to the elements at -0.068 eV/atom. The total moment comes out at 0.00 Bohr magnetons per cell. The final energy comes out at -7.908 eV per atom. The calculation puts the volume at 122.2 Å³/cell.

The space group is Pm-3n (No. 223) and the conventional cell measures 4.963, 4.963 and 4.963 Å, with angles of 90.00, 90.00 and 90.00 degrees. The asymmetric unit holds V at (0.000, 0.250, 0.500) and Sn at (0.000, 0.000, 0.000).

***

Compound: ReAuCl4
Source: Alexandria
Functional: PBE
Structure: optimized geometry

For the density, the calculation gives 6.52 g cm⁻³. For the energy relative to the elements, uncorrected, the calculation gives 1464 meV/atom. The total moment comes out at 10.15 Bohr magnetons per cell. The final energy comes out at -2.388 eV per atom. The calculation puts the volume at 535.0 Å³/cell.

The space group is F-43m (No. 216) and the conventional cell measures 8.118, 8.118 and 8.118 Å, with angles of 90.00, 90.00 and 90.00 degrees. The asymmetric unit holds Re at (0.000, 0.000, 0.000), Au at (0.250, 0.250, 0.750) and Cl at (0.125, 0.125, 0.375).

***

Compound: AlPt2Rh
Source: Alexandria
Functional: PBE
Structure: optimized geometry

For the density, the calculation gives 14.56 g cm⁻³. The calculation puts the energy relative to the elements at -0.514 eV/atom. The total moment comes out at 0.00 Bohr magnetons per cell. The final energy comes out at -6.308 eV per atom. The calculation puts the volume at 59.3 Å³/cell.

The space group is P2/m (No. 10) and the conventional cell measures 2.787, 3.807 and 5.591 Å, with angles of 90.00, 90.20 and 90.00 degrees. The asymmetric unit holds Al at (0.000, 0.000, 0.000), Pt at (0.499, 0.500, 0.245) and Rh at (0.000, 0.000, 0.500).

***

Compound: KSnAuSe3
Source: Alexandria
Functional: PBE
Structure: optimized geometry

For the density, the calculation gives 5.31 g cm⁻³. For the energy relative to the elements, uncorrected, the calculation gives -596 meV/atom. The total moment comes out at 0.00 Bohr magnetons per cell. The final energy comes out at -3.734 eV per atom. The calculation puts the volume at 1479.1 Å³/cell.

The space group is P4cc (No. 103) and the conventional cell measures 8.540, 8.540 and 20.282 Å, with angles of 90.00, 90.00 and 90.00 degrees. The asymmetric unit holds K at (0.000, 0.000, 0.000), K at (0.000, 0.000, 0.207), K at (0.500, 0.500, 0.057), K at (0.500, 0.500, 0.343), Sn at (0.000, 0.500, 0.020), Sn at (0.000, 0.500, 0.197), Au at (0.007, 0.320, 0.358), Se at (0.154, 0.334, 0.108), Se at (0.178, 0.319, 0.765) and Se at (0.188, 0.328, 0.453).

***

Compound: Pm5Zn2In
Source: Alexandria
Functional: PBE
Structure: optimized geometry

For the density, the calculation gives 7.08 g cm⁻³. The calculation puts the energy relative to the elements at -0.267 eV/atom. The total moment comes out at 0.00 Bohr magnetons per cell. The final energy comes out at -3.897 eV per atom. The calculation puts the volume at 910.2 Å³/cell.

The space group is I4/mcm (No. 140) and the conventional cell measures 8.447, 8.447 and 12.757 Å, with angles of 90.00, 90.00 and 90.00 degrees. The asymmetric unit holds Pm at (0.000, 0.000, 0.000), Pm at (0.153, 0.347, 0.146), Zn at (0.143, 0.357, 0.500) and In at (0.000, 0.000, 0.250).